# 1
## Co3Ir (meta-GGA SCAN)

Data for a PBEsol-optimized structure of Co3Ir.

abc: 2.577 2.577 6.846
angles: 90.00 90.00 90.00
Space group P4/mmm (No. 123)
Inequivalent atoms, fractional coordinates:
Co: 0.000 0.000 0.000
Co: 0.500 0.500 0.235
Ir: 0.000 0.000 0.500

Summary:
- E_form (meV per atom) = 81

---

# 2
## KLi2Mn (meta-GGA SCAN)

Data for a PBEsol-optimized structure of KLi2Mn.

abc: 7.470 7.470 7.470
angles: 90.00 90.00 90.00
Space group Fm-3m (No. 225)
Inequivalent atoms, fractional coordinates:
K: 0.000 0.000 0.000
Li: 0.250 0.250 0.250
Mn: 0.000 0.000 0.500

Summary:
- polymorph energy (0 for the lowest one) (meV/atom) = 85
- E_form (meV per atom) = 399

---

# 3
## SnBiNF2 (meta-GGA SCAN)

Data for a PBEsol-optimized structure of SnBiNF2.

abc: 4.367 4.367 4.138
angles: 90.00 90.00 90.00
Space group P4/mmm (No. 123)
Inequivalent atoms, fractional coordinates:
Sn: 0.000 0.000 0.000
Bi: 0.500 0.500 0.500
N: 0.000 0.000 0.500
F: 0.000 0.500 0.000

Summary:
- ΔE_f (raw) (eV/atom) = -0.591

---

Number 1: final energy -30.672 eV/atom. Number 2: final energy -7.442 eV/atom. Number 3: final energy -26.765 eV/atom.